(one)
HfCuOs2 | GGA-PBE | relaxed

## Properties
total magnetization = 0.0 μB per cell
D(E_F) = 4.021 states/eV/cell
V = 61.5 Å³ per cell

a b c (Å): 4.432 4.432 4.432
angles (deg): 60.00 60.00 60.00
Atoms (fractional coordinates):
Os 0.250 0.250 0.250
Os 0.750 0.750 0.750
Hf 0.500 0.500 0.500
Cu 0.000 0.000 0.000

=====

(two)
HfCuOs2 | GGA-PBE | relaxed

## Properties
total magnetization = 0.0 μB per cell
D(E_F) = 6.318 states/eV/cell
V = 139.4 Å³ per cell

a b c (Å): 3.934 3.934 9.428
angles (deg): 77.96 77.96 90.00
Atoms (fractional coordinates):
Os 0.875 0.802 0.750
Os 0.375 0.448 0.750
Os 0.552 0.125 0.250
Os 0.198 0.625 0.250
Hf 0.750 0.250 0.500
Hf 0.000 0.000 0.000
Cu 0.500 0.500 0.000
Cu 0.250 0.750 0.500

=====

Energies relative to the minimum, meV per atom: (one) 0; (two) 262

=====

(one)
Hf4CuOs | GGA-PBE | relaxed

## Properties
total magnetization = 0.0 μB per cell
D(E_F) = 3.933 states/eV/cell
V = 113.4 Å³ per cell

a b c (Å): 3.220 3.220 10.936
angles (deg): 90.00 90.00 90.00
Atoms (fractional coordinates):
Hf 0.500 0.500 0.159
Hf 0.000 0.000 0.349
Hf 0.500 0.500 0.841
Hf 0.000 0.000 0.651
Cu 0.000 0.000 0.000
Os 0.500 0.500 0.500

=====

(two)
Hf4CuOs | GGA-PBE | relaxed

## Properties
total magnetization = 0.0 μB per cell
D(E_F) = 13.310 states/eV/cell
V = 234.4 Å³ per cell

a b c (Å): 3.221 5.491 13.252
angles (deg): 90.10 90.00 90.00
Atoms (fractional coordinates):
Os 0.000 0.000 0.500
Os 0.500 0.500 0.000
Hf 0.500 0.169 0.845
Hf 0.500 0.831 0.155
Hf 0.000 0.669 0.345
Hf 0.000 0.332 0.154
Hf 0.500 0.832 0.654
Hf 0.000 0.668 0.846
Hf 0.000 0.331 0.655
Hf 0.500 0.168 0.346
Cu 0.500 0.500 0.500
Cu 0.000 0.000 0.000

=====

Energies relative to the minimum, meV per atom: (one) 0; (two) 295

=====

(one)
HfCuReOs | GGA-PBE | relaxed

## Properties
total magnetization = 0.0 μB per cell
D(E_F) = 2.587 states/eV/cell
V = 61.6 Å³ per cell

a b c (Å): 2.924 4.492 4.692
angles (deg): 90.00 90.00 90.00
Atoms (fractional coordinates):
Cu 0.000 0.000 0.438
Re 0.500 0.000 0.919
Hf 0.500 0.500 0.300
Os 0.000 0.500 0.788

=====

(two)
HfCuReOs | GGA-PBE | relaxed

## Properties
total magnetization = 0.0 μB per cell
D(E_F) = 5.634 states/eV/cell
V = 125.1 Å³ per cell

a b c (Å): 4.728 2.986 9.110
angles (deg): 90.00 103.37 90.00
Atoms (fractional coordinates):
Re 0.314 0.500 0.422
Re 0.314 0.000 0.922
Cu 0.105 0.000 0.180
Cu 0.105 0.500 0.680
Hf 0.605 0.000 0.683
Hf 0.605 0.500 0.183
Os 0.868 0.500 0.939
Os 0.868 0.000 0.439

=====

(three)
HfCuReOs | GGA-PBE | relaxed

## Properties
total magnetization = 0.0 μB per cell
D(E_F) = 2.895 states/eV/cell
V = 62.4 Å³ per cell

a b c (Å): 3.896 2.889 5.540
angles (deg): 90.00 90.00 90.00
Atoms (fractional coordinates):
Os 0.500 0.000 0.038
Cu 0.500 0.000 0.508
Re 0.000 0.500 0.248
Hf 0.000 0.500 0.760

=====

Energies relative to the minimum, meV per atom: (one) 7; (two) 93; (three) 0

=====

(one)
HfZrCuOs | GGA-PBE | relaxed

## Properties
total magnetization = 0.0 μB per cell
D(E_F) = 2.820 states/eV/cell
V = 70.0 Å³ per cell

a b c (Å): 3.240 3.240 6.665
angles (deg): 90.00 90.00 90.00
Atoms (fractional coordinates):
Os 0.500 0.500 0.115
Cu 0.500 0.500 0.597
Zr 0.000 0.000 0.860
Hf 0.000 0.000 0.357

=====

(two)
HfZrCuOs | GGA-PBE | relaxed

## Properties
total magnetization = 0.0 μB per cell
D(E_F) = 2.439 states/eV/cell
V = 70.1 Å³ per cell

a b c (Å): 4.627 4.627 4.627
angles (deg): 60.00 60.00 60.00
Atoms (fractional coordinates):
Zr 0.000 0.000 0.000
Cu 0.250 0.250 0.250
Os 0.750 0.750 0.750
Hf 0.500 0.500 0.500

=====

Energies relative to the minimum, meV per atom: (one) 18; (two) 0

=====

(one)
HfCuPb3 | GGA-PBE | relaxed

## Properties
total magnetization = 0.0 μB per cell
D(E_F) = 4.384 states/eV/cell
V = 139.7 Å³ per cell

a b c (Å): 5.189 5.189 5.189
angles (deg): 90.00 90.00 90.00
Atoms (fractional coordinates):
Hf 0.500 0.500 0.500
Pb 0.500 0.000 0.000
Pb 0.000 0.000 0.500
Pb 0.000 0.500 0.000
Cu 0.000 0.000 0.000

=====

(two)
HfCuPb3 | GGA-PBE | relaxed

## Properties
total magnetization = 0.0 μB per cell
D(E_F) = 4.645 states/eV/cell
V = 180.4 Å³ per cell

a b c (Å): 5.650 5.650 5.650
angles (deg): 90.00 90.00 90.00
Atoms (fractional coordinates):
Cu 0.500 0.500 0.500
Pb 0.500 0.000 0.000
Pb 0.000 0.500 0.000
Pb 0.000 0.000 0.500
Hf 0.000 0.000 0.000

=====

Energies relative to the minimum, meV per atom: (one) 0; (two) 129

=====

(one)
HfCuPb2 | GGA-PBE | relaxed

## Properties
total magnetization = 0.0 μB per cell
D(E_F) = 2.330 states/eV/cell
V = 97.5 Å³ per cell

a b c (Å): 3.307 3.307 10.467
angles (deg): 80.91 80.91 60.00
Atoms (fractional coordinates):
Hf 0.000 0.000 0.000
Pb 0.903 0.903 0.292
Pb 0.097 0.097 0.708
Cu 0.500 0.500 0.500

=====

(two)
HfCuPb2 | GGA-PBE | relaxed

## Properties
total magnetization = 0.0 μB per cell
D(E_F) = 6.366 states/eV/cell
V = 198.3 Å³ per cell

a b c (Å): 4.448 4.448 10.504
angles (deg): 77.78 77.78 90.00
Atoms (fractional coordinates):
Pb 0.617 0.125 0.250
Pb 0.375 0.383 0.750
Pb 0.133 0.625 0.250
Pb 0.875 0.867 0.750
Cu 0.250 0.750 0.500
Cu 0.500 0.500 0.000
Hf 0.750 0.250 0.500
Hf 0.000 0.000 0.000

=====

(three)
HfCuPb2 | GGA-PBE | relaxed

## Properties
total magnetization = 0.0 μB per cell
D(E_F) = 4.765 states/eV/cell
V = 92.4 Å³ per cell

a b c (Å): 5.075 5.075 5.075
angles (deg): 60.00 60.00 60.00
Atoms (fractional coordinates):
Cu 0.000 0.000 0.000
Hf 0.500 0.500 0.500
Pb 0.250 0.250 0.250
Pb 0.750 0.750 0.750

=====

Energies relative to the minimum, meV per atom: (one) 0; (two) 41; (three) 11